Li2BeF5: relaxed, PBE.

a = 5.1811 Å, b = 5.1811 Å, c = 9.1773 Å
α = 90.00°, β = 90.00°, γ = 137.62°
Fractional positions:
1 Li 0.1729 0.8271 0.5824
2 Li 0.1729 0.8271 0.9176
3 Li 0.8271 0.1729 0.0824
4 Li 0.8271 0.1729 0.4176
5 Be 0.1649 0.8351 0.2500
6 Be 0.8351 0.1649 0.7500
7 F 0.0186 0.9814 0.1363
8 F 0.0186 0.9814 0.3637
9 F 0.2722 0.7278 0.1079
10 F 0.2722 0.7278 0.3921
11 F 0.3189 0.6811 0.7500
12 F 0.6811 0.3189 0.2500
13 F 0.7278 0.2722 0.6079
14 F 0.7278 0.2722 0.8921
15 F 0.9814 0.0186 0.6363
16 F 0.9814 0.0186 0.8637

Values from the calculation:
distance to the lowest polymorph of the same formula	100.9	meV/atom
DFT total energy	-4.655	eV/atom
total moment	2.08	μB per cell
E_form (uncorrected)	-2.541	eV per atom